# PrEr6Mg | Alexandria via LeMat-Bulk | PBE | relaxed
# ΔE_f in eV/atom: 0.176
data_PrEr6Mg
_cell_length_a 7.176
_cell_length_b 10.962
_cell_length_c 6.451
_cell_angle_alpha 90.00
_cell_angle_beta 100.26
_cell_angle_gamma 90.00
_space_group_name_H-M_alt 'C 1 2/m 1'
_space_group_IT_number 12
loop_
_space_group_symop_operation_xyz
'x,y,z'
'-x,-y,-z'
'-x,y,-z'
'x,-y,z'
'x+1/2,y+1/2,z'
'-x+1/2,-y+1/2,-z'
'-x+1/2,y+1/2,-z'
'x+1/2,-y+1/2,z'
loop_
_atom_site_label
_atom_site_fract_x
_atom_site_fract_y
_atom_site_fract_z
_atom_site_occupancy
Pr1 0.000 0.000 0.000 1
Er1 0.090 0.500 0.263 1
Er2 0.185 0.269 0.730 1
Mg1 0.000 0.000 0.500 1